[1]
VASP calculation (PBE) on a relaxed structure of ZrCuBr2.

Unit cell a=3.4823 b=3.4823 c=10.0326 alpha=90.00 beta=90.00 gamma=122.84
Closest atoms and distances in Å follow each position.
Atoms (fractional coordinates):
Zr (0.0000, 0.0000, 0.0000)  4 Br 2.72
Cu (0.0000, 0.0000, 0.5000)  4 Br 3.32, 6 Cu 3.33-3.48
Br (0.5000, 0.5000, 0.2142)  2 Zr 2.72
Br (0.5000, 0.5000, 0.7858)  2 Zr 2.72

Properties
space-group type	No. 65
DOS at the Fermi energy	1.86	states/eV per cell

---

[2]
VASP calculation (PBE) on a relaxed structure of ZrCuBr2.

Unit cell a=4.8711 b=4.8711 c=3.4062 alpha=90.00 beta=90.00 gamma=97.65
Closest atoms and distances in Å follow each position.
Atoms (fractional coordinates):
Zr (0.0000, 0.0000, 0.0000)  8 Br 2.97, 2 Cu 3.21
Cu (0.5000, 0.5000, 0.0000)  8 Br 2.97, 2 Zr 3.21
Br (0.0000, 0.5000, 0.5000)  4 Cu 2.97, 4 Zr 2.97, 2 Br 3.21
Br (0.5000, 0.0000, 0.5000)  4 Cu 2.97, 4 Zr 2.97, 2 Br 3.21

Properties
space-group type	No. 65
DOS at the Fermi energy	3.14	states/eV per cell

---

[3]
VASP calculation (PBE) on a relaxed structure of ZrCu2Br.

Unit cell a=5.9175 b=5.9175 c=5.9175 alpha=101.41 beta=101.41 gamma=127.19
Closest atoms and distances in Å follow each position.
Atoms (fractional coordinates):
Zr (0.0000, 0.0000, 0.0000)  2 Br 2.63, 4 Cu 2.78
Zr (0.7500, 0.2500, 0.5000)  2 Br 2.63, 4 Cu 2.78
Cu (0.1349, 0.6250, 0.0099)  2 Cu 2.64, 2 Br 2.68, 2 Zr 2.78
Cu (0.3750, 0.3849, 0.5099)  2 Cu 2.64, 2 Br 2.68, 2 Zr 2.78
Cu (0.6151, 0.1250, 0.9901)  2 Cu 2.64, 2 Br 2.68, 2 Zr 2.78
Cu (0.8750, 0.8651, 0.4901)  2 Cu 2.64, 2 Br 2.68, 2 Zr 2.78
Br (0.2500, 0.7500, 0.5000)  2 Zr 2.63, 4 Cu 2.68
Br (0.5000, 0.5000, 0.0000)  2 Zr 2.63, 4 Cu 2.68

Properties
space-group type	No. 122
DOS at the Fermi energy	6.88	states/eV per cell

---

[4]
VASP calculation (PBE) on a relaxed structure of ZrCu2Br.

Unit cell a=5.0700 b=5.0700 c=5.0700 alpha=132.65 beta=132.65 gamma=69.21
Closest atoms and distances in Å follow each position.
Atoms (fractional coordinates):
Zr (0.0000, 0.0000, 0.0000)  8 Cu 2.88-2.92, 4 Br 2.92
Cu (0.5000, 0.5000, 0.0000)  4 Zr 2.88, 4 Br 2.92, 4 Cu 2.92
Cu (0.7500, 0.2500, 0.5000)  4 Br 2.88, 4 Zr 2.92, 4 Cu 2.92
Br (0.2500, 0.7500, 0.5000)  8 Cu 2.88-2.92, 4 Zr 2.92

Properties
space-group type	No. 119
DOS at the Fermi energy	2.67	states/eV per cell

---

[5]
VASP calculation (PBE) on a relaxed structure of ZrCu2Br.

Unit cell a=3.2894 b=3.2894 c=6.7840 alpha=90.00 beta=90.00 gamma=90.00
Closest atoms and distances in Å follow each position.
Atoms (fractional coordinates):
Zr (0.0000, 0.0000, 0.0000)  8 Cu 2.85
Cu (0.5000, 0.5000, 0.2422)  4 Zr 2.85, 4 Br 2.91
Cu (0.5000, 0.5000, 0.7578)  4 Zr 2.85, 4 Br 2.91
Br (0.0000, 0.0000, 0.5000)  8 Cu 2.91

Properties
space-group type	No. 123
DOS at the Fermi energy	2.13	states/eV per cell

---

[6]
VASP calculation (PBE) on a relaxed structure of ZrCu2Br6.

Unit cell a=9.3089 b=9.3089 c=6.9716 alpha=96.18 beta=96.18 gamma=79.43
Closest atoms and distances in Å follow each position.
Atoms (fractional coordinates):
Zr (0.1023, 0.8977, 0.7500)  6 Br 2.54-2.82
Zr (0.8977, 0.1023, 0.2500)  6 Br 2.54-2.82
Cu (0.3476, 0.4600, 0.7034)  2 Br 2.30-2.33
Cu (0.4600, 0.3476, 0.2034)  2 Br 2.30-2.33
Cu (0.5400, 0.6524, 0.7966)  2 Br 2.30-2.33
Cu (0.6524, 0.5400, 0.2966)  2 Br 2.30-2.33
Br (0.0373, 0.1735, 0.5966)  2 Zr 2.69-2.82
Br (0.1318, 0.6390, 0.8512)  1 Zr 2.54, 1 Cu 2.59
Br (0.1735, 0.0373, 0.0966)  2 Zr 2.69-2.82
Br (0.2762, 0.4839, 0.3765)  2 Cu 2.30-2.33
Br (0.3610, 0.8682, 0.6488)  1 Zr 2.54, 1 Cu 2.59
Br (0.4839, 0.2762, 0.8765)  2 Cu 2.30-2.33
Br (0.5161, 0.7238, 0.1235)  2 Cu 2.30-2.33
Br (0.6390, 0.1318, 0.3512)  1 Zr 2.54, 1 Cu 2.59
Br (0.7238, 0.5161, 0.6235)  2 Cu 2.30-2.33
Br (0.8265, 0.9627, 0.9034)  2 Zr 2.69-2.82
Br (0.8682, 0.3610, 0.1488)  1 Zr 2.54, 1 Cu 2.59
Br (0.9627, 0.8265, 0.4034)  2 Zr 2.69-2.82

Properties
space-group type	No. 15

---

Number 1: relative energy among the computed polymorphs 492 meV/atom, VASP energy -0.1505 hartree per atom. Number 2: relative energy among the computed polymorphs 628 meV/atom, VASP energy -0.1455 hartree per atom. Number 3: relative energy among the computed polymorphs 324 meV/atom, VASP energy -0.1632 hartree per atom. Number 4: relative energy among the computed polymorphs 311 meV/atom, VASP energy -0.1637 hartree per atom. Number 5: relative energy among the computed polymorphs 235 meV/atom, VASP energy -0.1665 hartree per atom. Number 6: relative energy among the computed polymorphs 29 meV/atom, VASP energy -0.1397 hartree per atom.